Record 1
# Al2FePt | Alexandria via LeMat-Bulk | GGA-PBE | optimized geometry
data_Al2FePt
_symmetry_space_group_name_H-M 'I -4 m 2'
_symmetry_Int_Tables_number 119
_symmetry_space_group_name_Hall 'I -4 -2'
_cell_length_a 3.671
_cell_length_b 3.671
_cell_length_c 8.240
_cell_angle_alpha 90.00
_cell_angle_beta 90.00
_cell_angle_gamma 90.00
loop_
_atom_site_label
_atom_site_type_symbol
_atom_site_fract_x
_atom_site_fract_y
_atom_site_fract_z
_atom_site_occupancy
Al1 Al 0.000 0.000 0.000 1
Al2 Al 0.000 0.500 0.250 1
Fe1 Fe 0.000 0.000 0.500 1
Pt1 Pt 0.000 0.500 0.750 1
# Fermi-level density of states in states/eV/f.u.: 3.60
# ΔE_f in eV per formula unit: -2.28
# Total DFT energy (no corrections) in eV/atom: -6.066
# Magnetic moment in μB per cell: 4.20

---

Record 2
# Al2Fe2Pt | Alexandria via LeMat-Bulk | GGA-PBE | optimized geometry
data_Al2Fe2Pt
_symmetry_space_group_name_H-M 'P 4/m b m'
_symmetry_Int_Tables_number 127
_symmetry_space_group_name_Hall '-P 4 2ab'
_cell_length_a 7.004
_cell_length_b 7.004
_cell_length_c 2.734
_cell_angle_alpha 90.00
_cell_angle_beta 90.00
_cell_angle_gamma 90.00
loop_
_atom_site_label
_atom_site_type_symbol
_atom_site_fract_x
_atom_site_fract_y
_atom_site_fract_z
_atom_site_occupancy
Al1 Al 0.183 0.317 0.000 1
Fe1 Fe 0.114 0.614 0.500 1
Pt1 Pt 0.000 0.000 0.500 1
# Fermi-level density of states in states/eV/f.u.: 4.15
# ΔE_f in eV per formula unit: -1.38
# Polymorph energy (0 for the lowest one) in meV/atom: 0.0
# Total DFT energy (no corrections) in eV/atom: -6.367
# Magnetic moment in μB per cell: 7.14

---

Record 3
# AlFe3Pt12 | Alexandria via LeMat-Bulk | GGA-PBE | optimized geometry
data_AlFe3Pt12
_symmetry_space_group_name_H-M 'P 4/m m m'
_symmetry_Int_Tables_number 123
_symmetry_space_group_name_Hall '-P 4 2'
_cell_length_a 3.929
_cell_length_b 3.929
_cell_length_c 15.574
_cell_angle_alpha 90.00
_cell_angle_beta 90.00
_cell_angle_gamma 90.00
loop_
_atom_site_label
_atom_site_type_symbol
_atom_site_fract_x
_atom_site_fract_y
_atom_site_fract_z
_atom_site_occupancy
Al1 Al 0.000 0.000 0.000 1
Fe1 Fe 0.000 0.000 0.249 1
Fe2 Fe 0.000 0.000 0.500 1
Pt1 Pt 0.000 0.500 0.126 1
Pt2 Pt 0.000 0.500 0.375 1
Pt3 Pt 0.500 0.500 0.000 1
Pt4 Pt 0.500 0.500 0.250 1
Pt5 Pt 0.500 0.500 0.500 1
# Fermi-level density of states in states/eV/f.u.: 13.74
# ΔE_f in eV per formula unit: -5.36
# Total DFT energy (no corrections) in eV/atom: -6.686
# Magnetic moment in μB per cell: 13.86

---

Record 4
# AlFe2Pt2 | Alexandria via LeMat-Bulk | GGA-PBE | optimized geometry
data_AlFe2Pt2
_symmetry_space_group_name_H-M 'P 4/m b m'
_symmetry_Int_Tables_number 127
_symmetry_space_group_name_Hall '-P 4 2ab'
_cell_length_a 6.437
_cell_length_b 6.437
_cell_length_c 3.511
_cell_angle_alpha 90.00
_cell_angle_beta 90.00
_cell_angle_gamma 90.00
loop_
_atom_site_label
_atom_site_type_symbol
_atom_site_fract_x
_atom_site_fract_y
_atom_site_fract_z
_atom_site_occupancy
Al1 Al 0.000 0.000 0.000 1
Fe1 Fe 0.143 0.357 0.500 1
Pt1 Pt 0.146 0.646 0.000 1
# Fermi-level density of states in states/eV/f.u.: 8.34
# ΔE_f in eV per formula unit: 0.60
# Total DFT energy (no corrections) in eV/atom: -6.429
# Magnetic moment in μB per cell: 0.06

---

Record 5
# Al2FePt | Alexandria via LeMat-Bulk | GGA-PBE | optimized geometry
data_Al2FePt
_symmetry_space_group_name_H-M 'I m m m'
_symmetry_Int_Tables_number 71
_symmetry_space_group_name_Hall '-I 2 2'
_cell_length_a 2.734
_cell_length_b 4.356
_cell_length_c 11.958
_cell_angle_alpha 90.00
_cell_angle_beta 90.00
_cell_angle_gamma 90.00
loop_
_atom_site_label
_atom_site_type_symbol
_atom_site_fract_x
_atom_site_fract_y
_atom_site_fract_z
_atom_site_occupancy
Al1 Al 0.000 0.000 0.207 1
Fe1 Fe 0.000 0.000 0.500 1
Pt1 Pt 0.000 0.000 0.000 1
# Fermi-level density of states in states/eV/f.u.: 3.58
# ΔE_f in eV per formula unit: 0.36
# Total DFT energy (no corrections) in eV/atom: -5.406
# Magnetic moment in μB per cell: 6.37

---

Record 6
# AlFe2Pt | Alexandria via LeMat-Bulk | GGA-PBE | optimized geometry
data_AlFe2Pt
_symmetry_space_group_name_H-M 'P 1 2/m 1'
_symmetry_Int_Tables_number 10
_symmetry_space_group_name_Hall '-P 2y'
_cell_length_a 2.686
_cell_length_b 3.864
_cell_length_c 5.153
_cell_angle_alpha 90.00
_cell_angle_beta 90.21
_cell_angle_gamma 90.00
loop_
_atom_site_label
_atom_site_type_symbol
_atom_site_fract_x
_atom_site_fract_y
_atom_site_fract_z
_atom_site_occupancy
Al1 Al 0.000 0.000 0.000 1
Fe1 Fe 0.500 0.500 0.240 1
Pt1 Pt 0.000 0.000 0.500 1
# Fermi-level density of states in states/eV/f.u.: 2.31
# ΔE_f in eV per formula unit: -1.30
# Total DFT energy (no corrections) in eV/atom: -7.002
# Magnetic moment in μB per cell: 5.10

---

Record 7
# Al2FePt | Alexandria via LeMat-Bulk | GGA-PBE | optimized geometry
data_Al2FePt
_symmetry_space_group_name_H-M 'C 1 m 1'
_symmetry_Int_Tables_number 8
_symmetry_space_group_name_Hall 'C -2y'
_cell_length_a 9.290
_cell_length_b 2.821
_cell_length_c 4.410
_cell_angle_alpha 90.00
_cell_angle_beta 107.71
_cell_angle_gamma 90.00
loop_
_atom_site_label
_atom_site_type_symbol
_atom_site_fract_x
_atom_site_fract_y
_atom_site_fract_z
_atom_site_occupancy
Al1 Al 0.000 0.000 0.000 1
Al2 Al 0.241 0.000 0.615 1
Fe1 Fe 0.000 0.500 0.512 1
Pt1 Pt 0.246 0.500 0.119 1
# Fermi-level density of states in states/eV/f.u.: 1.28
# ΔE_f in eV per formula unit: -2.33
# Total DFT energy (no corrections) in eV/atom: -6.079
# Magnetic moment in μB per cell: 3.08

---

Record 8
# AlFePt3 | Alexandria via LeMat-Bulk | GGA-PBE | optimized geometry
data_AlFePt3
_symmetry_space_group_name_H-M 'P -1'
_symmetry_Int_Tables_number 2
_symmetry_space_group_name_Hall '-P 1'
_cell_length_a 4.527
_cell_length_b 4.528
_cell_length_c 7.725
_cell_angle_alpha 86.05
_cell_angle_beta 73.00
_cell_angle_gamma 76.73
loop_
_atom_site_label
_atom_site_type_symbol
_atom_site_fract_x
_atom_site_fract_y
_atom_site_fract_z
_atom_site_occupancy
Al1 Al 0.149 0.250 0.203 1
Fe1 Fe 0.354 0.250 0.792 1
Pt1 Pt 0.062 0.750 0.377 1
Pt2 Pt 0.251 0.750 0.997 1
Pt3 Pt 0.442 0.750 0.615 1
# Fermi-level density of states in states/eV/f.u.: 2.66
# ΔE_f in eV per formula unit: -2.80
# Polymorph energy (0 for the lowest one) in meV/atom: 0.0
# Total DFT energy (no corrections) in eV/atom: -6.625
# Magnetic moment in μB per cell: 7.25

---

Record 9
# AlFe2Pt | Alexandria via LeMat-Bulk | GGA-PBE | optimized geometry
data_AlFe2Pt
_symmetry_space_group_name_H-M 'R 3 m'
_symmetry_Int_Tables_number 160
_symmetry_space_group_name_Hall 'R 3 -2"'
_cell_length_a 2.7916
_cell_length_b 2.7916
_cell_length_c 24.2999
_cell_angle_alpha 90.00
_cell_angle_beta 90.00
_cell_angle_gamma 120.00
loop_
_atom_site_label
_atom_site_type_symbol
_atom_site_fract_x
_atom_site_fract_y
_atom_site_fract_z
_atom_site_occupancy
Al1 Al 0.0000 0.0000 0.0000 1
Fe1 Fe 0.0000 0.0000 0.2510 1
Fe2 Fe 0.0000 0.0000 0.5100 1
Pt1 Pt 0.0000 0.0000 0.7532 1
# Fermi-level density of states in states/eV/f.u.: 2.96
# ΔE_f in eV per formula unit: -0.71
# Total DFT energy (no corrections) in eV/atom: -6.855
# Magnetic moment in μB per cell: 14.72

---

Record 10
# Al4Fe3Pt | Alexandria via LeMat-Bulk | GGA-PBE | optimized geometry
data_Al4Fe3Pt
_symmetry_space_group_name_H-M 'P 4/m m m'
_symmetry_Int_Tables_number 123
_symmetry_space_group_name_Hall '-P 4 2'
_cell_length_a 4.123
_cell_length_b 4.123
_cell_length_c 5.855
_cell_angle_alpha 90.00
_cell_angle_beta 90.00
_cell_angle_gamma 90.00
loop_
_atom_site_label
_atom_site_type_symbol
_atom_site_fract_x
_atom_site_fract_y
_atom_site_fract_z
_atom_site_occupancy
Al1 Al 0.000 0.500 0.235 1
Fe1 Fe 0.000 0.000 0.000 1
Fe2 Fe 0.000 0.000 0.500 1
Fe3 Fe 0.500 0.500 0.000 1
Pt1 Pt 0.500 0.500 0.500 1
# Fermi-level density of states in states/eV/f.u.: 6.03
# ΔE_f in eV per formula unit: -4.20
# Total DFT energy (no corrections) in eV/atom: -6.325
# Magnetic moment in μB per cell: 1.19